[1]
# Cr2InPt

A geometry-optimized Cr2InPt structure (PBEsol, Alexandria).

Calculated values
calculated volume = 60.6 Å³ per cell
energy relative to the elements = 0.21 eV/atom

POSCAR file:
```
Cr2InPt
1.0
2.739 0.000 0.000
0.000 4.158 0.000
0.000 0.000 5.318
Cr In Pt
2 1 1
direct
0.000 0.000 0.186
0.000 0.000 0.814
0.500 0.500 0.500
0.500 0.500 0.000
```

***

[2]
# CaLa2Pd2

A geometry-optimized CaLa2Pd2 structure (PBEsol, Alexandria).

Calculated values
calculated volume = 151.9 Å³ per cell
energy relative to the elements = -0.25 eV/atom
excess energy over the best structure of this formula in the dataset = 8.591 kcal/mol of atoms

POSCAR file:
```
CaLa2Pd2
1.0
-2.654 2.654 5.393
2.654 -2.654 5.393
2.654 2.654 -5.393
Ca La Pd
1 2 2
direct
0.000 0.000 0.000
0.336 0.336 0.000
0.664 0.664 0.000
0.250 0.750 0.500
0.750 0.250 0.500
```

***

[3]
# Na5Ti3F14

A geometry-optimized Na5Ti3F14 structure (PBEsol, Alexandria).

Calculated values
calculated volume = 575.3 Å³ per cell

POSCAR file:
```
Na5Ti3F14
1.0
7.477 0.000 0.000
0.000 7.477 0.000
0.000 0.000 10.290
Na Ti F
10 6 28
direct
0.000 0.000 0.000
0.224 0.276 0.250
0.224 0.276 0.750
0.276 0.776 0.250
0.276 0.776 0.750
0.500 0.500 0.500
0.724 0.224 0.250
0.724 0.224 0.750
0.776 0.724 0.250
0.776 0.724 0.750
0.000 0.000 0.500
0.000 0.500 0.000
0.000 0.500 0.500
0.500 0.000 0.000
0.500 0.000 0.500
0.500 0.500 0.000
0.000 0.000 0.312
0.000 0.000 0.688
0.037 0.689 0.129
0.037 0.689 0.871
0.078 0.248 0.500
0.189 0.537 0.371
0.189 0.537 0.629
0.248 0.922 0.500
0.252 0.422 0.000
0.311 0.037 0.129
0.311 0.037 0.871
0.422 0.748 0.000
0.463 0.189 0.371
0.463 0.189 0.629
0.500 0.500 0.188
0.500 0.500 0.812
0.537 0.811 0.371
0.537 0.811 0.629
0.578 0.252 0.000
0.689 0.963 0.129
0.689 0.963 0.871
0.748 0.578 0.000
0.752 0.078 0.500
0.811 0.463 0.371
0.811 0.463 0.629
0.922 0.752 0.500
0.963 0.311 0.129
0.963 0.311 0.871
```

***

[4]
# LiInHg2

A geometry-optimized LiInHg2 structure (PBEsol, Alexandria).

Calculated values
calculated volume = 83.7 Å³ per cell
energy relative to the elements = -0.24 eV/atom

POSCAR file:
```
LiInHg2
1.0
3.202 -3.206 0.000
3.202 3.206 0.000
0.000 0.000 4.079
Li In Hg
1 1 2
direct
0.000 0.000 0.000
0.500 0.500 0.000
0.000 0.500 0.500
0.500 0.000 0.500
```

***

How do the records compare in electronic total energy? In the order shown, they have -7.4015 -5.2007 -5.7559 -1.7566 eV per atom.
How do the records compare in D(E_F)? In the order shown, they have 3.98 4.41 15.95 1.36 states/eV per cell.